Entry 1:
LiYTe: PBEsol geometry, meta-GGA SCAN. Values from VASP.

Summary:
Total DFT energy (no corrections) = -23.477 eV/atom
Raw formation energy = -982 meV per atom
Magnetic moment = 0.00 Bohr magnetons per cell
Space-group type = P-6m2 (187)

Cell and atoms, written as Quantum ESPRESSO input:
```
&SYSTEM
  ibrav = 0, nat = 3, ntyp = 3
/
ATOMIC_SPECIES
Li 6.94 Li.upf
Y 88.91 Y.upf
Te 127.60 Te.upf
CELL_PARAMETERS angstrom
4.365 0.000 0.000
-2.182 3.780 0.000
0.000 0.000 3.929
ATOMIC_POSITIONS angstrom
Li 0.000 0.000 0.000
Y 2.182 1.260 1.964
Te 0.000 2.520 0.000
```

=====

Entry 2:
ZnCr2Ni: PBEsol geometry, meta-GGA SCAN. Values from VASP.

Summary:
Total DFT energy (no corrections) = -16.465 eV/atom
Magnetic moment = 0.00 Bohr magnetons per cell
Space-group type = P4/mmm (123)
Energy of formation from the pure elements = 149 meV/atom

Cell and atoms, written as Quantum ESPRESSO input:
```
&SYSTEM
  ibrav = 0, nat = 4, ntyp = 3
/
ATOMIC_SPECIES
Zn 65.41 Zn.upf
Cr 52.00 Cr.upf
Ni 58.69 Ni.upf
CELL_PARAMETERS angstrom
3.357 0.000 0.000
0.000 3.357 0.000
0.000 0.000 4.010
ATOMIC_POSITIONS angstrom
Zn 0.000 0.000 0.000
Cr 0.000 1.678 2.005
Cr 1.678 0.000 2.005
Ni 1.678 1.678 0.000
```

=====

Entry 3:
KCuSe: PBEsol geometry, meta-GGA SCAN. Values from VASP.

Summary:
Total DFT energy (no corrections) = -15.314 eV/atom
Raw formation energy = -778 meV per atom
Magnetic moment = 0.00 Bohr magnetons per cell
Space-group type = P-6m2 (187)

Cell and atoms, written as Quantum ESPRESSO input:
```
&SYSTEM
  ibrav = 0, nat = 3, ntyp = 3
/
ATOMIC_SPECIES
K 39.10 K.upf
Cu 63.55 Cu.upf
Se 78.96 Se.upf
CELL_PARAMETERS angstrom
4.111 0.000 0.000
-2.055 3.560 0.000
0.000 0.000 4.839
ATOMIC_POSITIONS angstrom
K 0.000 0.000 0.000
Cu 2.055 1.187 2.419
Se 0.000 2.373 2.419
```

=====

Entry 4:
TcHgTe2I: PBEsol geometry, meta-GGA SCAN. Values from VASP.

Summary:
Total DFT energy (no corrections) = -42.513 eV/atom
Raw formation energy = 381 meV per atom
Magnetic moment = 0.00 Bohr magnetons per cell
Space-group type = P4/mmm (123)

Cell and atoms, written as Quantum ESPRESSO input:
```
&SYSTEM
  ibrav = 0, nat = 5, ntyp = 4
/
ATOMIC_SPECIES
Tc 98.00 Tc.upf
Hg 200.59 Hg.upf
Te 127.60 Te.upf
I 126.90 I.upf
CELL_PARAMETERS angstrom
5.086 0.000 0.000
0.000 5.086 0.000
0.000 0.000 5.695
ATOMIC_POSITIONS angstrom
Tc 0.000 0.000 0.000
Hg 2.543 2.543 2.848
Te 0.000 2.543 0.000
Te 2.543 0.000 0.000
I 0.000 0.000 2.848
```

=====

Entry 5:
InReTe2: PBEsol geometry, meta-GGA SCAN. Values from VASP.

Summary:
Total DFT energy (no corrections) = -44.420 eV/atom
Raw formation energy = 326 meV per atom
Magnetic moment = 0.00 Bohr magnetons per cell
Space-group type = P4mm (99)

Cell and atoms, written as Quantum ESPRESSO input:
```
&SYSTEM
  ibrav = 0, nat = 4, ntyp = 3
/
ATOMIC_SPECIES
In 114.82 In.upf
Re 186.21 Re.upf
Te 127.60 Te.upf
CELL_PARAMETERS angstrom
3.157 0.000 0.000
0.000 3.157 0.000
0.000 0.000 9.357
ATOMIC_POSITIONS angstrom
In 0.000 0.000 0.000
Re 1.579 1.579 1.861
Te 0.000 0.000 3.393
Te 1.579 1.579 6.654
```

=====

Entry 6:
SrSnCl2: PBEsol geometry, meta-GGA SCAN. Values from VASP.

Summary:
Total DFT energy (no corrections) = -19.646 eV/atom
Raw formation energy = -1108 meV per atom
Magnetic moment = 0.01 Bohr magnetons per cell
Space-group type = Fm-3m (225)

Cell and atoms, written as Quantum ESPRESSO input:
```
&SYSTEM
  ibrav = 0, nat = 4, ntyp = 3
/
ATOMIC_SPECIES
Sr 87.62 Sr.upf
Sn 118.71 Sn.upf
Cl 35.45 Cl.upf
CELL_PARAMETERS angstrom
0.000 3.704 3.704
3.704 0.000 3.704
3.704 3.704 0.000
ATOMIC_POSITIONS angstrom
Sr 0.000 0.000 0.000
Sn 3.704 3.704 3.704
Cl 1.852 1.852 1.852
Cl 5.556 5.556 5.556
```

=====

Entry 7:
VI2: PBEsol geometry, meta-GGA SCAN. Values from VASP.

Summary:
Total DFT energy (no corrections) = -31.125 eV/atom
Raw formation energy = -801 meV per atom
Magnetic moment = 3.00 Bohr magnetons per cell
Space-group type = P-3m1 (164)

Cell and atoms, written as Quantum ESPRESSO input:
```
&SYSTEM
  ibrav = 0, nat = 3, ntyp = 2
/
ATOMIC_SPECIES
V 50.94 V.upf
I 126.90 I.upf
CELL_PARAMETERS angstrom
4.033 0.000 0.000
-2.017 3.493 0.000
0.000 0.000 6.643
ATOMIC_POSITIONS angstrom
V 0.000 0.000 0.000
I 0.000 2.329 1.536
I 2.017 1.164 5.107
```

=====

Entry 8:
ZrTaSb4: PBEsol geometry, meta-GGA SCAN. Values from VASP.

Summary:
Total DFT energy (no corrections) = -40.226 eV/atom
Raw formation energy = 828 meV per atom
Magnetic moment = 0.00 Bohr magnetons per cell
Space-group type = F-43m (216)

Cell and atoms, written as Quantum ESPRESSO input:
```
&SYSTEM
  ibrav = 0, nat = 6, ntyp = 3
/
ATOMIC_SPECIES
Zr 91.22 Zr.upf
Ta 180.95 Ta.upf
Sb 121.76 Sb.upf
CELL_PARAMETERS angstrom
0.000 4.179 4.179
4.179 0.000 4.179
4.179 4.179 0.000
ATOMIC_POSITIONS angstrom
Zr 0.000 0.000 0.000
Ta 6.268 6.268 6.268
Sb 3.135 3.135 3.135
Sb 5.222 5.222 3.135
Sb 5.222 3.135 5.222
Sb 3.135 5.222 5.222
```

=====

Entry 9:
SrGe3C: PBEsol geometry, meta-GGA SCAN. Values from VASP.

Summary:
Total DFT energy (no corrections) = -15.232 eV/atom
Magnetic moment = 0.55 Bohr magnetons per cell
Space-group type = Pm-3m (221)
Energy of formation from the pure elements = 2695 meV/atom

Cell and atoms, written as Quantum ESPRESSO input:
```
&SYSTEM
  ibrav = 0, nat = 5, ntyp = 3
/
ATOMIC_SPECIES
Sr 87.62 Sr.upf
Ge 72.64 Ge.upf
C 12.01 C.upf
CELL_PARAMETERS angstrom
5.544 0.000 0.000
0.000 5.544 0.000
0.000 0.000 5.544
ATOMIC_POSITIONS angstrom
Sr 0.000 0.000 0.000
Ge 0.000 0.000 2.772
Ge 0.000 2.772 0.000
Ge 2.772 0.000 0.000
C 2.772 2.772 2.772
```

=====

Entry 10:
InBrO2: PBEsol geometry, meta-GGA SCAN. Values from VASP.

Summary:
Total DFT energy (no corrections) = -16.748 eV/atom
Raw formation energy = -421 meV per atom
Magnetic moment = 4.00 Bohr magnetons per cell
Offset from the most stable computed form = 0.573 eV/atom
Space-group type = I-42d (122)

Cell and atoms, written as Quantum ESPRESSO input:
```
&SYSTEM
  ibrav = 0, nat = 8, ntyp = 3
/
ATOMIC_SPECIES
In 114.82 In.upf
Br 79.90 Br.upf
O 16.00 O.upf
CELL_PARAMETERS angstrom
-2.896 2.896 4.413
2.896 -2.896 4.413
2.896 2.896 -4.413
ATOMIC_POSITIONS angstrom
In 0.000 0.000 0.000
In 0.000 2.896 2.207
Br 2.896 0.000 2.207
Br 0.000 0.000 4.413
O 4.344 0.957 -1.103
O 0.957 1.448 1.103
O -1.448 1.939 3.310
O 1.939 1.448 5.516
```

=====

Entry 11:
Si2NiIr: PBEsol geometry, meta-GGA SCAN. Values from VASP.

Summary:
Total DFT energy (no corrections) = -26.737 eV/atom
Raw formation energy = 89 meV per atom
Magnetic moment = 0.00 Bohr magnetons per cell
Space-group type = F-43m (216)

Cell and atoms, written as Quantum ESPRESSO input:
```
&SYSTEM
  ibrav = 0, nat = 4, ntyp = 3
/
ATOMIC_SPECIES
Si 28.09 Si.upf
Ni 58.69 Ni.upf
Ir 192.22 Ir.upf
CELL_PARAMETERS angstrom
0.000 2.945 2.945
2.945 0.000 2.945
2.945 2.945 0.000
ATOMIC_POSITIONS angstrom
Si 0.000 0.000 0.000
Si 1.472 1.472 1.472
Ni 2.945 2.945 2.945
Ir 4.417 4.417 4.417
```

=====

Entry 12:
La2GeRhO: PBEsol geometry, meta-GGA SCAN. Values from VASP.

Summary:
Total DFT energy (no corrections) = -29.392 eV/atom
Raw formation energy = -332 meV per atom
Magnetic moment = 0.00 Bohr magnetons per cell
Space-group type = P4/mmm (123)

Cell and atoms, written as Quantum ESPRESSO input:
```
&SYSTEM
  ibrav = 0, nat = 5, ntyp = 4
/
ATOMIC_SPECIES
La 138.91 La.upf
Ge 72.64 Ge.upf
Rh 102.91 Rh.upf
O 16.00 O.upf
CELL_PARAMETERS angstrom
5.600 0.000 0.000
0.000 5.600 0.000
0.000 0.000 4.359
ATOMIC_POSITIONS angstrom
La 0.000 2.800 0.000
La 2.800 0.000 0.000
Ge 0.000 0.000 0.000
Rh 0.000 0.000 2.180
O 2.800 2.800 2.180
```

=====

- total DFT energy (no corrections) of number 1 (LiYTe)?
  -23.477 eV/atom

=====

- Which of these has the highest total DFT energy (no corrections)?
  SrGe3C

=====

Copy entry 5 word for word.
InReTe2: PBEsol geometry, meta-GGA SCAN. Values from VASP.

Summary:
Total DFT energy (no corrections) = -44.420 eV/atom
Raw formation energy = 326 meV per atom
Magnetic moment = 0.00 Bohr magnetons per cell
Space-group type = P4mm (99)

Cell and atoms, written as Quantum ESPRESSO input:
```
&SYSTEM
  ibrav = 0, nat = 4, ntyp = 3
/
ATOMIC_SPECIES
In 114.82 In.upf
Re 186.21 Re.upf
Te 127.60 Te.upf
CELL_PARAMETERS angstrom
3.157 0.000 0.000
0.000 3.157 0.000
0.000 0.000 9.357
ATOMIC_POSITIONS angstrom
In 0.000 0.000 0.000
Re 1.579 1.579 1.861
Te 0.000 0.000 3.393
Te 1.579 1.579 6.654
```